# 1
This record from Alexandria via LeMat-Bulk describes TlB2Ru after structural relaxation. The functional is PBE-GGA.

Unit cell a=4.198 b=4.198 c=14.037 alpha=90.00 beta=90.00 gamma=90.00
Element x y z (fractional)
Tl  0.000  0.250  0.375
Tl  0.000  0.750  0.625
Tl  0.500  0.250  0.125
Tl  0.500  0.750  0.875
B  0.000  0.000  0.000
B  0.000  0.500  0.000
B  0.250  0.250  0.750
B  0.250  0.750  0.250
B  0.500  0.000  0.500
B  0.500  0.500  0.500
B  0.750  0.250  0.750
B  0.750  0.750  0.250
Ru  0.000  0.250  0.875
Ru  0.000  0.750  0.125
Ru  0.500  0.250  0.625
Ru  0.500  0.750  0.375

Calculated values
E_form in eV per atom: 0.6288
Energy in Ry/atom: -0.413
E above lowest polymorph in meV/atom: 0
Space group: No. 141

# 2
This record from Alexandria via LeMat-Bulk describes TlBRu2 after structural relaxation. The functional is PBE-GGA.

Unit cell a=4.822 b=4.822 c=12.806 alpha=90.00 beta=90.00 gamma=90.00
Element x y z (fractional)
Tl  0.000  0.000  0.000
Tl  0.000  0.500  0.250
Tl  0.500  0.000  0.750
Tl  0.500  0.500  0.500
B  0.000  0.000  0.500
B  0.000  0.500  0.750
B  0.500  0.000  0.250
B  0.500  0.500  0.000
Ru  0.095  0.250  0.625
Ru  0.250  0.595  0.875
Ru  0.250  0.905  0.375
Ru  0.405  0.250  0.125
Ru  0.595  0.750  0.125
Ru  0.750  0.095  0.375
Ru  0.750  0.405  0.875
Ru  0.905  0.750  0.625

Calculated values
E_form in eV per atom: 0.8181
Energy in Ry/atom: -0.447
E above lowest polymorph in meV/atom: 0
Space group: No. 122

# 3
This record from Alexandria via LeMat-Bulk describes TlB2Ru after structural relaxation. The functional is PBE-GGA.

Unit cell a=5.863 b=5.863 c=5.863 alpha=90.00 beta=90.00 gamma=90.00
Element x y z (fractional)
Tl  0.000  0.000  0.000
Tl  0.000  0.500  0.500
Tl  0.500  0.000  0.500
Tl  0.500  0.500  0.000
B  0.250  0.250  0.250
B  0.250  0.250  0.750
B  0.250  0.750  0.250
B  0.250  0.750  0.750
B  0.750  0.250  0.250
B  0.750  0.250  0.750
B  0.750  0.750  0.250
B  0.750  0.750  0.750
Ru  0.000  0.000  0.500
Ru  0.000  0.500  0.000
Ru  0.500  0.000  0.000
Ru  0.500  0.500  0.500

Calculated values
E_form in eV per atom: 1.5179
Energy in Ry/atom: -0.348
E above lowest polymorph in meV/atom: 889
Space group: No. 225

# 4
This record from Alexandria via LeMat-Bulk describes Y2TlBRu after structural relaxation. The functional is PBE-GGA.

Unit cell a=5.141 b=5.141 c=4.024 alpha=90.00 beta=90.00 gamma=90.00
Element x y z (fractional)
Y  0.000  0.500  0.000
Y  0.500  0.000  0.000
Tl  0.000  0.000  0.500
B  0.500  0.500  0.000
Ru  0.500  0.500  0.500

Calculated values
E_form in eV per atom: -0.3483
Energy in Ry/atom: -0.485
Space group: No. 123

# 5
This record from Alexandria via LeMat-Bulk describes TmB6Ru6 after structural relaxation. The functional is PBE-GGA.

Unit cell a=5.959 b=5.959 c=5.959 alpha=133.32 beta=101.99 gamma=96.09
Element x y z (fractional)
Tm  0.000  0.000  0.000
B  0.000  0.000  0.500
B  0.000  0.500  0.000
B  0.235  0.500  0.735
B  0.500  0.000  0.000
B  0.500  0.500  0.500
B  0.765  0.500  0.265
Ru  0.185  0.685  0.500
Ru  0.331  0.000  0.331
Ru  0.341  0.341  0.000
Ru  0.659  0.659  0.000
Ru  0.669  0.000  0.669
Ru  0.815  0.315  0.500

Calculated values
E_form in eV per atom: 0.1285
Energy in Ry/atom: -0.557
Space group: No. 71

# 6
This record from Alexandria via LeMat-Bulk describes TmBRu after structural relaxation. The functional is PBE-GGA.

Unit cell a=4.035 b=4.037 c=5.829 alpha=90.00 beta=90.11 gamma=90.00
Element x y z (fractional)
Tm  0.249  0.250  0.166
Tm  0.751  0.750  0.834
B  0.250  0.250  0.658
B  0.750  0.750  0.342
Ru  0.250  0.750  0.500
Ru  0.750  0.250  0.500

Calculated values
E_form in eV per atom: -0.3927
Energy in Ry/atom: -0.529
E above lowest polymorph in meV/atom: 76
Space group: No. 11

# 7
This record from Alexandria via LeMat-Bulk describes Tm2B10Ru after structural relaxation. The functional is PBE-GGA.

Unit cell a=5.682 b=11.292 c=4.151 alpha=90.00 beta=90.00 gamma=90.00
Element x y z (fractional)
Tm  0.226  0.129  0.000
Tm  0.274  0.629  0.000
Tm  0.726  0.371  0.000
Tm  0.774  0.871  0.000
B  0.058  0.307  0.500
B  0.120  0.959  0.500
B  0.133  0.802  0.500
B  0.224  0.381  0.199
B  0.224  0.381  0.801
B  0.276  0.881  0.199
B  0.276  0.881  0.801
B  0.367  0.302  0.500
B  0.380  0.459  0.500
B  0.442  0.807  0.500
B  0.558  0.193  0.500
B  0.620  0.541  0.500
B  0.633  0.698  0.500
B  0.724  0.119  0.199
B  0.724  0.119  0.801
B  0.776  0.619  0.199
B  0.776  0.619  0.801
B  0.867  0.198  0.500
B  0.880  0.041  0.500
B  0.942  0.693  0.500
Ru  0.000  0.500  0.500
Ru  0.500  0.000  0.500

Calculated values
E_form in eV per atom: -0.4553
Energy in Ry/atom: -0.514
Space group: No. 55

# 8
This record from Alexandria via LeMat-Bulk describes TmB2Ru3 after structural relaxation. The functional is PBE-GGA.

Unit cell a=5.501 b=5.501 c=3.017 alpha=90.00 beta=90.00 gamma=120.00
Element x y z (fractional)
Tm  0.000  0.000  0.000
B  0.333  0.667  0.000
B  0.667  0.333  0.000
Ru  0.000  0.500  0.500
Ru  0.500  0.000  0.500
Ru  0.500  0.500  0.500

Calculated values
E_form in eV per atom: -0.4781
Energy in Ry/atom: -0.594
Space group: No. 191

# 9
This record from Alexandria via LeMat-Bulk describes TmBRu after structural relaxation. The functional is PBE-GGA.

Unit cell a=3.626 b=3.626 c=4.192 alpha=90.00 beta=90.00 gamma=120.00
Element x y z (fractional)
Tm  0.000  0.000  0.000
B  0.667  0.333  0.500
Ru  0.333  0.667  0.500

Calculated values
E_form in eV per atom: -0.4690
Energy in Ry/atom: -0.535
E above lowest polymorph in meV/atom: 0
Space group: No. 187

# 10
This record from Alexandria via LeMat-Bulk describes TmB4Ru4 after structural relaxation. The functional is PBE-GGA.

Unit cell a=7.404 b=7.404 c=4.070 alpha=90.00 beta=90.00 gamma=90.00
Element x y z (fractional)
Tm  0.250  0.250  0.250
Tm  0.750  0.750  0.750
B  0.046  0.581  0.137
B  0.081  0.954  0.637
B  0.419  0.546  0.637
B  0.454  0.919  0.137
B  0.546  0.081  0.863
B  0.581  0.454  0.363
B  0.919  0.046  0.363
B  0.954  0.419  0.863
Ru  0.107  0.862  0.137
Ru  0.138  0.607  0.637
Ru  0.362  0.893  0.637
Ru  0.393  0.638  0.137
Ru  0.607  0.362  0.863
Ru  0.638  0.107  0.363
Ru  0.862  0.393  0.363
Ru  0.893  0.138  0.863

Calculated values
E_form in eV per atom: -0.4612
Energy in Ry/atom: -0.592
E above lowest polymorph in meV/atom: 40
Space group: No. 86

# 11
This record from Alexandria via LeMat-Bulk describes Tm2B6Ru after structural relaxation. The functional is PBE-GGA.

Unit cell a=9.069 b=11.435 c=3.619 alpha=90.00 beta=90.00 gamma=90.00
Element x y z (fractional)
Tm  0.056  0.127  0.000
Tm  0.179  0.414  0.000
Tm  0.321  0.914  0.000
Tm  0.444  0.627  0.000
Tm  0.556  0.373  0.000
Tm  0.679  0.086  0.000
Tm  0.821  0.586  0.000
Tm  0.944  0.873  0.000
B  0.018  0.287  0.500
B  0.053  0.567  0.500
B  0.108  0.970  0.500
B  0.131  0.815  0.500
B  0.209  0.234  0.500
B  0.248  0.580  0.500
B  0.252  0.080  0.500
B  0.291  0.734  0.500
B  0.369  0.315  0.500
B  0.392  0.470  0.500
B  0.447  0.067  0.500
B  0.482  0.787  0.500
B  0.518  0.213  0.500
B  0.553  0.933  0.500
B  0.608  0.530  0.500
B  0.631  0.685  0.500
B  0.709  0.266  0.500
B  0.748  0.920  0.500
B  0.752  0.420  0.500
B  0.791  0.766  0.500
B  0.869  0.185  0.500
B  0.892  0.030  0.500
B  0.947  0.433  0.500
B  0.982  0.713  0.500
Ru  0.138  0.679  0.000
Ru  0.362  0.179  0.000
Ru  0.638  0.821  0.000
Ru  0.862  0.321  0.000

Calculated values
E_form in eV per atom: -0.7252
Energy in Ry/atom: -0.529
Space group: No. 55

# 12
This record from Alexandria via LeMat-Bulk describes TmBRu2 after structural relaxation. The functional is PBE-GGA.

Unit cell a=5.887 b=4.221 c=9.582 alpha=90.00 beta=90.00 gamma=90.00
Element x y z (fractional)
Tm  0.095  0.250  0.120
Tm  0.405  0.750  0.620
Tm  0.595  0.250  0.380
Tm  0.905  0.750  0.880
B  0.135  0.750  0.407
B  0.365  0.250  0.907
B  0.635  0.750  0.093
B  0.865  0.250  0.593
Ru  0.092  0.250  0.421
Ru  0.147  0.250  0.737
Ru  0.353  0.750  0.237
Ru  0.408  0.750  0.921
Ru  0.592  0.250  0.079
Ru  0.647  0.250  0.763
Ru  0.853  0.750  0.263
Ru  0.908  0.750  0.579

Calculated values
E_form in eV per atom: -0.4964
Energy in Ry/atom: -0.582
Space group: No. 62